No. 1
Computed, not measured: a geometry-optimized Pm3SnF structure at the PBE level of DFT.

Cell: 4.9951 4.9951 4.9951 Å, 90.00 90.00 90.00°
Closest atoms and distances in Å follow each position.
Element x y z (fractional)
1 Pm 0.0000 0.0000 0.5000  2 F 2.50
2 Pm 0.0000 0.5000 0.0000  2 F 2.50
3 Pm 0.5000 0.0000 0.0000  2 F 2.50
4 Sn 0.5000 0.5000 0.5000  12 Pm 3.53
5 F 0.0000 0.0000 0.0000  6 Pm 2.50


No. 2
Computed, not measured: a geometry-optimized PmSnF5 structure at the PBE level of DFT.

Cell: 6.1796 6.1796 8.7968 Å, 108.30 108.30 75.78°
Closest atoms and distances in Å follow each position.
Element x y z (fractional)
1 Pm 0.0000 0.0000 0.0000  6 F 2.25-2.31
2 Pm 0.0000 0.0000 0.5000  6 F 2.25-2.31
3 Sn 0.4941 0.5059 0.7500  4 F 2.17-2.29
4 Sn 0.5059 0.4941 0.2500  4 F 2.17-2.29
5 F 0.0781 0.9219 0.2500  2 Pm 2.28
6 F 0.2059 0.2908 0.6056  1 Pm 2.25, 1 Sn 2.29
7 F 0.2645 0.6878 0.9097  1 Sn 2.17, 1 Pm 2.31
8 F 0.2908 0.2059 0.1056  1 Pm 2.25, 1 Sn 2.29
9 F 0.3122 0.7355 0.5903  1 Sn 2.17, 1 Pm 2.31
10 F 0.6878 0.2645 0.4097  1 Sn 2.17, 1 Pm 2.31
11 F 0.7092 0.7941 0.8944  1 Pm 2.25, 1 Sn 2.29
12 F 0.7355 0.3122 0.0903  1 Sn 2.17, 1 Pm 2.31
13 F 0.7941 0.7092 0.3944  1 Pm 2.25, 1 Sn 2.29
14 F 0.9219 0.0781 0.7500  2 Pm 2.28


No. 3
Computed, not measured: a geometry-optimized PmTl2SnF6 structure at the PBE level of DFT.

Cell: 6.7185 8.1805 7.9106 Å, 90.00 90.00 90.00°
Closest atoms and distances in Å follow each position.
Element x y z (fractional)
1 Pm 0.2500 0.2500 0.1032  6 F 2.24-2.31
2 Pm 0.7500 0.7500 0.8968  6 F 2.24-2.31
3 Tl 0.2500 0.0010 0.6103  2 F 2.77
4 Tl 0.2500 0.4990 0.6103  2 F 2.77
5 Tl 0.7500 0.5010 0.3897  2 F 2.77
6 Tl 0.7500 0.9990 0.3897  2 F 2.77
7 Sn 0.2500 0.7500 0.2521  4 F 2.18-2.19
8 Sn 0.7500 0.2500 0.7479  4 F 2.18-2.19
9 F 0.0015 0.2500 0.2914  1 Pm 2.24
10 F 0.0431 0.2500 0.8698  1 Sn 2.19, 1 Pm 2.31
11 F 0.2500 0.5302 0.0956  1 Sn 2.18, 1 Pm 2.29
12 F 0.2500 0.9698 0.0956  1 Sn 2.18, 1 Pm 2.29
13 F 0.4569 0.2500 0.8698  1 Sn 2.19, 1 Pm 2.31
14 F 0.4985 0.2500 0.2914  1 Pm 2.24
15 F 0.5015 0.7500 0.7086  1 Pm 2.24
16 F 0.5431 0.7500 0.1302  1 Sn 2.19, 1 Pm 2.31
17 F 0.7500 0.0302 0.9044  1 Sn 2.18, 1 Pm 2.29
18 F 0.7500 0.4698 0.9044  1 Sn 2.18, 1 Pm 2.29
19 F 0.9569 0.7500 0.1302  1 Sn 2.19, 1 Pm 2.31
20 F 0.9985 0.7500 0.7086  1 Pm 2.24


No. 4
Computed, not measured: a geometry-optimized Sr2PmF6 structure at the PBE level of DFT.

Cell: 5.4429 6.8105 10.2656 Å, 90.00 90.00 90.00°
Closest atoms and distances in Å follow each position.
Element x y z (fractional)
1 Sr 0.0000 0.0000 0.1981  6 F 2.44-2.49
2 Sr 0.0000 0.0000 0.8019  6 F 2.44-2.49
3 Sr 0.5000 0.5000 0.3019  6 F 2.44-2.49
4 Sr 0.5000 0.5000 0.6981  6 F 2.44-2.49
5 Pm 0.0000 0.5000 0.0000  6 F 2.34-2.36
6 Pm 0.5000 0.0000 0.5000  6 F 2.34-2.36
7 F 0.1416 0.1758 0.0000  1 Pm 2.34, 2 Sr 2.48
8 F 0.1646 0.6598 0.1845  1 Pm 2.36, 2 Sr 2.44-2.49
9 F 0.1646 0.6598 0.8155  1 Pm 2.36, 2 Sr 2.44-2.49
10 F 0.3354 0.1598 0.3155  1 Pm 2.36, 2 Sr 2.44-2.49
11 F 0.3354 0.1598 0.6845  1 Pm 2.36, 2 Sr 2.44-2.49
12 F 0.3584 0.6758 0.5000  1 Pm 2.34, 2 Sr 2.48
13 F 0.6416 0.3242 0.5000  1 Pm 2.34, 2 Sr 2.48
14 F 0.6646 0.8402 0.3155  1 Pm 2.36, 2 Sr 2.44-2.49
15 F 0.6646 0.8402 0.6845  1 Pm 2.36, 2 Sr 2.44-2.49
16 F 0.8354 0.3402 0.1845  1 Pm 2.36, 2 Sr 2.44-2.49
17 F 0.8354 0.3402 0.8155  1 Pm 2.36, 2 Sr 2.44-2.49
18 F 0.8584 0.8242 0.0000  1 Pm 2.34, 2 Sr 2.48


No. 5
Computed, not measured: a geometry-optimized SrPmF5 structure at the PBE level of DFT.

Cell: 6.1618 6.1618 8.6086 Å, 107.83 107.83 73.27°
Closest atoms and distances in Å follow each position.
Element x y z (fractional)
1 Sr 0.0372 0.9628 0.7500  5 F 2.37-2.60
2 Sr 0.9628 0.0372 0.2500  5 F 2.37-2.60
3 Pm 0.5000 0.5000 0.0000  6 F 2.22-2.30
4 Pm 0.5000 0.5000 0.5000  6 F 2.22-2.30
5 F 0.1822 0.7936 0.0362  1 Pm 2.28, 1 Sr 2.48
6 F 0.2064 0.8178 0.4638  1 Pm 2.28, 1 Sr 2.48
7 F 0.2323 0.2851 0.3754  1 Pm 2.22, 1 Sr 2.37
8 F 0.2851 0.2323 0.8754  1 Pm 2.22, 1 Sr 2.37
9 F 0.3913 0.6087 0.7500  2 Pm 2.30
10 F 0.6087 0.3913 0.2500  2 Pm 2.30
11 F 0.7149 0.7677 0.1246  1 Pm 2.22, 1 Sr 2.37
12 F 0.7677 0.7149 0.6246  1 Pm 2.22, 1 Sr 2.37
13 F 0.7936 0.1822 0.5362  1 Pm 2.28, 1 Sr 2.48
14 F 0.8178 0.2064 0.9638  1 Pm 2.28, 1 Sr 2.48


No. 6
Computed, not measured: a geometry-optimized SrPm2F8 structure at the PBE level of DFT.

Cell: 7.6004 7.6004 5.7827 Å, 109.36 109.36 29.53°
Closest atoms and distances in Å follow each position.
Element x y z (fractional)
1 Sr 0.0000 0.0000 0.0000  8 F 2.46-2.73
2 Pm 0.3228 0.3228 0.3149  9 F 2.30-2.54
3 Pm 0.6772 0.6772 0.6851  9 F 2.30-2.54
4 F 0.1014 0.1014 0.4624  2 Pm 2.38, 1 Sr 2.58, 1 F 2.60
5 F 0.1800 0.1800 0.9632  3 Pm 2.37-2.51
6 F 0.2884 0.2884 0.6777  3 Pm 2.32-2.54
7 F 0.4599 0.4599 0.2078  1 Pm 2.30, 2 Sr 2.46
8 F 0.5401 0.5401 0.7922  1 Pm 2.30, 2 Sr 2.46
9 F 0.7116 0.7116 0.3223  3 Pm 2.32-2.54
10 F 0.8200 0.8200 0.0368  3 Pm 2.37-2.51
11 F 0.8986 0.8986 0.5376  2 Pm 2.38, 1 Sr 2.58, 1 F 2.60


Calculated density (computed, g/cm³): 7.63; 3.99; 6.01; 3.79; 3.76; 5.69
Energy relative to the elements, uncorrected (computed, meV/atom): -1200.0; -3272.0; -2534.7; -3694.0; -3951.5; -4062.7